Entry 1:
Cd2CuHgBi: relaxed, PBE.

a = 5.073 Å, b = 5.073 Å, c = 5.281 Å
α = 90.00°, β = 90.00°, γ = 90.00°
Fractional coordinates of all 5 atoms:
Cd: 0.000 0.500 0.000
Cd: 0.500 0.000 0.000
Cu: 0.000 0.000 0.000
Hg: 0.500 0.500 0.500
Bi: 0.000 0.000 0.500

## Properties
Symmetry: No. 123
Energy of formation from the pure elements: 0.21 eV per atom

Entry 2:
CdIn2CuBi: relaxed, PBE.

a = 5.122 Å, b = 5.122 Å, c = 5.117 Å
α = 90.00°, β = 90.00°, γ = 90.00°
Fractional coordinates of all 5 atoms:
Cd: 0.000 0.000 0.000
In: 0.000 0.500 0.500
In: 0.500 0.000 0.500
Cu: 0.000 0.000 0.500
Bi: 0.500 0.500 0.000

## Properties
Symmetry: No. 123
Energy of formation from the pure elements: 0.19 eV per atom

Entry 3:
KCd2CuBi: relaxed, PBE.

a = 5.165 Å, b = 5.165 Å, c = 5.447 Å
α = 90.00°, β = 90.00°, γ = 90.00°
Fractional coordinates of all 5 atoms:
K: 0.000 0.000 0.000
Cd: 0.000 0.500 0.500
Cd: 0.500 0.000 0.500
Cu: 0.500 0.500 0.500
Bi: 0.500 0.500 0.000

## Properties
Symmetry: No. 123
Energy of formation from the pure elements: 0.04 eV per atom

Entry 4:
Li2CdCuBi: relaxed, PBE.

a = 4.937 Å, b = 4.937 Å, c = 5.563 Å
α = 90.00°, β = 90.00°, γ = 90.00°
Fractional coordinates of all 5 atoms:
Li: 0.000 0.500 0.000
Li: 0.500 0.000 0.000
Cd: 0.000 0.000 0.000
Cu: 0.500 0.500 0.500
Bi: 0.000 0.000 0.500

## Properties
Symmetry: No. 123
Energy of formation from the pure elements: 0.51 eV per atom

Which of these has the highest energy of formation from the pure elements?
Li2CdCuBi